VASP calculation (PBE) on a geometry-optimized PuSi2Pd structure.

- V (Å³/cell) = 70
- DOS at the Fermi energy (states/eV per cell) = 7.7
- space group = No. 38
- formation energy without anion corrections (meV/atom) = -396

Cell lengths 2.9020, 4.9910, 4.9910 Å; angles 76.66, 90.00, 90.00 degrees
Atoms (fractional coordinates):
Pu: 0.0000 0.0000 0.0000
Si: 0.5000 0.0983 0.4878
Si: 0.5000 0.4878 0.0983
Pd: 0.5000 0.5870 0.5870

VASP calculation (PBE) on a geometry-optimized CoW2Se structure.

- V (Å³/cell) = 61
- DOS at the Fermi energy (states/eV per cell) = 3.4
- space group = No. 35
- formation energy without anion corrections (meV/atom) = 438

Cell lengths 2.7988, 2.7988, 8.1864 Å; angles 90.00, 90.00, 107.30 degrees
Atoms (fractional coordinates):
Co: 0.0000 0.0000 0.0000
W: 0.0000 0.0000 0.4870
W: 0.5000 0.5000 0.2239
Se: 0.5000 0.5000 0.7673

VASP calculation (PBE) on a geometry-optimized YTa2Tc structure.

- V (Å³/cell) = 79
- offset from the most stable computed form (meV per atom) = 233.9
- DOS at the Fermi energy (states/eV per cell) = 4.1
- space group = No. 160
- energy relative to the elements (meV/atom) = 276

Cell lengths 9.4622, 9.4622, 9.4622 Å; angles 19.10, 19.10, 19.10 degrees
Atoms (fractional coordinates):
Y: 0.0000 0.0000 0.0000
Ta: 0.5108 0.5108 0.5108
Ta: 0.7632 0.7632 0.7632
Tc: 0.2465 0.2465 0.2465

VASP calculation (PBE) on a geometry-optimized Ca3H6Ru structure.

- V (Å³/cell) = 252
- E_tot (eV/atom) = -3.8989
- DOS at the Fermi energy (states/eV per cell) = 3.0
- space group = No. 148

Cell lengths 6.3178, 6.3178, 6.3178 Å; angles 91.64, 91.64, 91.64 degrees
Atoms (fractional coordinates):
Ca: 0.0441 0.5602 0.7509
Ca: 0.2491 0.9559 0.4398
Ca: 0.4398 0.2491 0.9559
Ca: 0.5602 0.7509 0.0441
Ca: 0.7509 0.0441 0.5602
Ca: 0.9559 0.4398 0.2491
H: 0.0459 0.9245 0.7363
H: 0.0755 0.2637 0.9541
H: 0.2395 0.5789 0.4397
H: 0.2637 0.9541 0.0755
H: 0.4211 0.5603 0.7605
H: 0.4397 0.2395 0.5789
H: 0.5603 0.7605 0.4211
H: 0.5789 0.4397 0.2395
H: 0.7363 0.0459 0.9245
H: 0.7605 0.4211 0.5603
H: 0.9245 0.7363 0.0459
H: 0.9541 0.0755 0.2637
Ru: 0.0000 0.0000 0.0000
Ru: 0.5000 0.5000 0.5000

VASP calculation (PBE) on a geometry-optimized Tm6MgTl2 structure.

- V (Å³/cell) = 286
- DOS at the Fermi energy (states/eV per cell) = 11.9
- space group = No. 71
- energy relative to the elements (meV/atom) = 145

Cell lengths 8.9080, 8.9080, 8.9080 Å; angles 146.93, 131.56, 59.91 degrees
Atoms (fractional coordinates):
Tm: 0.0826 0.8346 0.2480
Tm: 0.2500 0.5000 0.7500
Tm: 0.4134 0.1654 0.2480
Tm: 0.5866 0.8346 0.7520
Tm: 0.7500 0.5000 0.2500
Tm: 0.9174 0.1654 0.7520
Mg: 0.0000 0.0000 0.0000
Tl: 0.3319 0.3319 0.0000
Tl: 0.6681 0.6681 0.0000

VASP calculation (PBE) on a geometry-optimized NbO2F2 structure.

- V (Å³/cell) = 103
- DOS at the Fermi energy (states/eV per cell) = 0.4
- space group = No. 127
- formation energy without anion corrections (meV/atom) = -901

Cell lengths 5.2304, 5.2304, 3.7516 Å; angles 90.00, 90.00, 90.00 degrees
Atoms (fractional coordinates):
Nb: 0.0000 0.0000 0.0000
Nb: 0.5000 0.5000 0.0000
O: 0.1753 0.3247 0.5000
O: 0.3247 0.8247 0.5000
O: 0.6753 0.1753 0.5000
O: 0.8247 0.6753 0.5000
F: 0.1450 0.6450 0.0000
F: 0.3550 0.1450 0.0000
F: 0.6450 0.8550 0.0000
F: 0.8550 0.3550 0.0000

VASP calculation (PBE) on a geometry-optimized Ti3InPd6 structure.

- V (Å³/cell) = 320
- offset from the most stable computed form (meV per atom) = 0.0
- DOS at the Fermi energy (states/eV per cell) = 16.3
- space group = No. 2
- energy relative to the elements (meV/atom) = -560

Cell lengths 4.8016, 7.4889, 9.9095 Å; angles 107.78, 102.83, 99.75 degrees
Atoms (fractional coordinates):
Ti: 0.0607 0.3594 0.3014
Ti: 0.2851 0.7723 0.5043
Ti: 0.3681 0.4778 0.1127
Ti: 0.6319 0.5222 0.8873
Ti: 0.7149 0.2277 0.4957
Ti: 0.9393 0.6406 0.6986
In: 0.1722 0.0624 0.8957
In: 0.8278 0.9376 0.1043
Pd: 0.0511 0.3577 0.7955
Pd: 0.1342 0.0601 0.3994
Pd: 0.2255 0.7407 0.9926
Pd: 0.3289 0.4564 0.5909
Pd: 0.4446 0.1634 0.2048
Pd: 0.4655 0.1530 0.6910
Pd: 0.5345 0.8470 0.3090
Pd: 0.5554 0.8366 0.7952
Pd: 0.6711 0.5436 0.4091
Pd: 0.7745 0.2593 0.0074
Pd: 0.8658 0.9399 0.6006
Pd: 0.9489 0.6423 0.2045

VASP calculation (PBE) on a geometry-optimized InGeSb2 structure.

- V (Å³/cell) = 282
- offset from the most stable computed form (meV per atom) = 3.9
- DOS at the Fermi energy (states/eV per cell) = 5.9
- space group = No. 122
- formation energy without anion corrections (meV/atom) = 94

Cell lengths 8.1025, 8.1025, 8.1025 Å; angles 132.75, 132.75, 69.04 degrees
Atoms (fractional coordinates):
In: 0.0000 0.0000 0.0000
In: 0.7500 0.2500 0.5000
Ge: 0.2500 0.7500 0.5000
Ge: 0.5000 0.5000 0.0000
Sb: 0.1414 0.6250 0.0164
Sb: 0.3750 0.3914 0.5164
Sb: 0.6086 0.1250 0.9836
Sb: 0.8750 0.8586 0.4836

VASP calculation (PBE) on a geometry-optimized Sr2YIrO6 structure.

- V (Å³/cell) = 283
- DOS at the Fermi energy (states/eV per cell) = 6.3
- space group = No. 14
- formation energy without anion corrections (meV/atom) = -2349

Cell lengths 5.8249, 5.8802, 10.0786 Å; angles 90.00, 124.92, 90.00 degrees
Atoms (fractional coordinates):
Sr: 0.2411 0.0359 0.2494
Sr: 0.2411 0.4641 0.7494
Sr: 0.7589 0.5359 0.2506
Sr: 0.7589 0.9641 0.7506
Y: 0.5000 0.0000 0.0000
Y: 0.5000 0.5000 0.5000
Ir: 0.0000 0.0000 0.5000
Ir: 0.0000 0.5000 0.0000
O: 0.1572 0.2281 0.9603
O: 0.1572 0.2719 0.4603
O: 0.2335 0.7000 0.9624
O: 0.2335 0.8000 0.4624
O: 0.3076 0.0183 0.7347
O: 0.3076 0.4817 0.2347
O: 0.6924 0.5183 0.7653
O: 0.6924 0.9817 0.2653
O: 0.7665 0.2000 0.5376
O: 0.7665 0.3000 0.0376
O: 0.8428 0.7281 0.5397
O: 0.8428 0.7719 0.0397

VASP calculation (PBE) on a geometry-optimized DyPuMgCd structure.

- V (Å³/cell) = 107
- DOS at the Fermi energy (states/eV per cell) = 8.4
- space group = No. 216
- energy relative to the elements (meV/atom) = -1

Cell lengths 5.3318, 5.3318, 5.3318 Å; angles 60.00, 60.00, 60.00 degrees
Atoms (fractional coordinates):
Dy: 0.0000 0.0000 0.0000
Pu: 0.5000 0.5000 0.5000
Mg: 0.2500 0.2500 0.2500
Cd: 0.7500 0.7500 0.7500

VASP calculation (PBE) on a geometry-optimized Tm5NiAg4 structure.

- V (Å³/cell) = 222
- DOS at the Fermi energy (states/eV per cell) = 4.4
- space group = No. 123
- energy relative to the elements (meV/atom) = -360

Cell lengths 3.5094, 3.5094, 18.0148 Å; angles 90.00, 90.00, 90.00 degrees
Atoms (fractional coordinates):
Tm: 0.0000 0.0000 0.0000
Tm: 0.0000 0.0000 0.2056
Tm: 0.0000 0.0000 0.4118
Tm: 0.0000 0.0000 0.5882
Tm: 0.0000 0.0000 0.7944
Ni: 0.5000 0.5000 0.5000
Ag: 0.5000 0.5000 0.1026
Ag: 0.5000 0.5000 0.3073
Ag: 0.5000 0.5000 0.6927
Ag: 0.5000 0.5000 0.8974

VASP calculation (PBE) on a geometry-optimized MnTcCl2 structure.

- V (Å³/cell) = 81
- offset from the most stable computed form (meV per atom) = 272.0
- DOS at the Fermi energy (states/eV per cell) = 1.8
- space group = No. 44
- formation energy without anion corrections (meV/atom) = 74

Cell lengths 8.7084, 8.7084, 8.7084 Å; angles 159.83, 159.26, 29.09 degrees
Atoms (fractional coordinates):
Mn: 0.0000 0.0000 0.0000
Tc: 0.1313 0.6313 0.5000
Cl: 0.4159 0.4159 0.0000
Cl: 0.6986 0.1986 0.5000

VASP calculation (PBE) on a geometry-optimized TbMnH5 structure.

- V (Å³/cell) = 113
- E_tot (eV/atom) = -4.6299
- DOS at the Fermi energy (states/eV per cell) = 5.0
- space group = No. 15

Cell lengths 4.4484, 4.4484, 7.1158 Å; angles 113.43, 113.43, 65.51 degrees
Atoms (fractional coordinates):
Tb: 0.0001 0.9999 0.2500
Tb: 0.9999 0.0001 0.7500
Mn: 0.5000 0.5000 0.0000
Mn: 0.5000 0.5000 0.5000
H: 0.0814 0.5926 0.4183
H: 0.0812 0.5950 0.9192
H: 0.4050 0.9188 0.5808
H: 0.4074 0.9186 0.0817
H: 0.5002 0.4998 0.2500
H: 0.4998 0.5002 0.7500
H: 0.5926 0.0814 0.9183
H: 0.5950 0.0812 0.4192
H: 0.9188 0.4050 0.0808
H: 0.9186 0.4074 0.5817

VASP calculation (PBE) on a geometry-optimized Sc2CdCuH structure.

- V (Å³/cell) = 80
- E_tot (eV/atom) = -4.4713
- DOS at the Fermi energy (states/eV per cell) = 3.7
- space group = No. 123

Cell lengths 4.6628, 4.6628, 3.6850 Å; angles 90.00, 90.00, 90.00 degrees
Atoms (fractional coordinates):
Sc: 0.0000 0.5000 0.0000
Sc: 0.5000 0.0000 0.0000
Cd: 0.0000 0.0000 0.5000
Cu: 0.5000 0.5000 0.5000
H: 0.5000 0.5000 0.0000

VASP calculation (PBE) on a geometry-optimized RbMg2Ga2 structure.

- V (Å³/cell) = 136
- offset from the most stable computed form (meV per atom) = 0.0
- DOS at the Fermi energy (states/eV per cell) = 2.6
- space group = No. 139
- energy relative to the elements (meV/atom) = -24

Cell lengths 6.5305, 6.5305, 6.5305 Å; angles 135.21, 135.21, 65.20 degrees
Atoms (fractional coordinates):
Rb: 0.0000 0.0000 0.0000
Mg: 0.2500 0.7500 0.5000
Mg: 0.7500 0.2500 0.5000
Ga: 0.3847 0.3847 0.0000
Ga: 0.6153 0.6153 0.0000

VASP calculation (PBE) on a geometry-optimized SrInSb2 structure.

- V (Å³/cell) = 123
- DOS at the Fermi energy (states/eV per cell) = 3.7
- space group = No. 216
- formation energy without anion corrections (meV/atom) = -235

Cell lengths 5.5784, 5.5784, 5.5784 Å; angles 60.00, 60.00, 60.00 degrees
Atoms (fractional coordinates):
Sr: 0.0000 0.0000 0.0000
In: 0.7500 0.7500 0.7500
Sb: 0.2500 0.2500 0.2500
Sb: 0.5000 0.5000 0.5000

VASP calculation (PBE) on a geometry-optimized Li3Tb2HoS6 structure.

- V (Å³/cell) = 247
- DOS at the Fermi energy (states/eV per cell) = 0.0
- space group = No. 12
- formation energy without anion corrections (meV/atom) = -1848

Cell lengths 6.7908, 6.7908, 6.5764 Å; angles 99.89, 99.89, 120.01 degrees
Atoms (fractional coordinates):
Li: 0.0000 0.0000 0.0000
Li: 0.3346 0.6654 0.0000
Li: 0.6654 0.3346 0.0000
Tb: 0.1668 0.8332 0.5000
Tb: 0.8332 0.1668 0.5000
Ho: 0.5000 0.5000 0.5000
S: 0.0855 0.4165 0.2491
S: 0.2523 0.2523 0.7505
S: 0.4165 0.0855 0.2491
S: 0.5835 0.9145 0.7509
S: 0.7477 0.7477 0.2495
S: 0.9145 0.5835 0.7509

VASP calculation (PBE) on a geometry-optimized Sb2HPd structure.

- V (Å³/cell) = 97
- offset from the most stable computed form (meV per atom) = 0.0
- DOS at the Fermi energy (states/eV per cell) = 1.5
- space group = No. 166

Cell lengths 6.7593, 6.7593, 6.7593 Å; angles 36.39, 36.39, 36.39 degrees
Atoms (fractional coordinates):
Sb: 0.1048 0.1048 0.1048
Sb: 0.8952 0.8952 0.8952
H: 0.0000 0.0000 0.0000
Pd: 0.5000 0.5000 0.5000

VASP calculation (PBE) on a geometry-optimized Be2HgBr structure.

- V (Å³/cell) = 78
- offset from the most stable computed form (meV per atom) = 460.4
- DOS at the Fermi energy (states/eV per cell) = 2.3
- space group = No. 47
- formation energy without anion corrections (meV/atom) = 649

Cell lengths 3.4653, 3.4669, 6.5321 Å; angles 90.00, 90.00, 90.00 degrees
Atoms (fractional coordinates):
Be: 0.0000 0.0000 0.0000
Be: 0.0000 0.5000 0.5000
Hg: 0.5000 0.0000 0.5000
Br: 0.5000 0.5000 0.0000

VASP calculation (PBE) on a geometry-optimized HfMg2MnCl structure.

- V (Å³/cell) = 161
- DOS at the Fermi energy (states/eV per cell) = 3.8
- space group = No. 123
- formation energy without anion corrections (meV/atom) = 964

Cell lengths 5.8965, 5.8965, 4.6366 Å; angles 90.00, 90.00, 90.00 degrees
Atoms (fractional coordinates):
Hf: 0.0000 0.0000 0.0000
Mg: 0.0000 0.5000 0.0000
Mg: 0.5000 0.0000 0.0000
Mn: 0.0000 0.0000 0.5000
Cl: 0.5000 0.5000 0.5000